1.
A plane-wave DFT calculation with PBEsol was carried out for a relaxed structure of TcWS2N.

Cell: 4.744 4.744 3.767 Å, 90.00 90.00 90.00°
Element x y z (fractional)
Tc 0.000 0.000 0.000
W 0.500 0.500 0.500
S 0.000 0.500 0.500
S 0.500 0.000 0.500
N 0.500 0.500 0.000

Computed properties:
energy relative to the elements, uncorrected	665	meV per atom
crystal system	tetragonal

=====

2.
A plane-wave DFT calculation with PBEsol was carried out for a relaxed structure of K6Na3AlSb4.

Cell: 10.133 10.133 10.388 Å, 90.00 90.00 120.00°
Element x y z (fractional)
K 0.207 0.415 0.042
K 0.207 0.415 0.458
K 0.207 0.793 0.042
K 0.207 0.793 0.458
K 0.415 0.207 0.542
K 0.415 0.207 0.958
K 0.585 0.793 0.042
K 0.585 0.793 0.458
K 0.793 0.207 0.542
K 0.793 0.207 0.958
K 0.793 0.585 0.542
K 0.793 0.585 0.958
Na 0.116 0.233 0.750
Na 0.116 0.884 0.750
Na 0.233 0.116 0.250
Na 0.767 0.884 0.750
Na 0.884 0.116 0.250
Na 0.884 0.767 0.250
Al 0.333 0.667 0.750
Al 0.667 0.333 0.250
Sb 0.000 0.000 0.000
Sb 0.000 0.000 0.500
Sb 0.036 0.518 0.750
Sb 0.482 0.518 0.750
Sb 0.482 0.964 0.750
Sb 0.518 0.036 0.250
Sb 0.518 0.482 0.250
Sb 0.964 0.482 0.250

Computed properties:
energy relative to the elements, uncorrected	-447	meV per atom
crystal system	hexagonal

=====

3.
A plane-wave DFT calculation with PBEsol was carried out for a relaxed structure of CaLaMnNbO6.

Cell: 5.534 5.740 9.637 Å, 90.00 124.82 90.00°
Element x y z (fractional)
Ca 0.000 0.195 0.000
Ca 0.000 0.805 0.500
La 0.531 0.303 0.504
La 0.531 0.697 0.004
Mn 0.768 0.249 0.251
Mn 0.768 0.751 0.751
Nb 0.269 0.245 0.753
Nb 0.269 0.755 0.253
O 0.021 0.463 0.194
O 0.021 0.537 0.694
O 0.120 0.210 0.508
O 0.120 0.790 0.008
O 0.405 0.284 0.994
O 0.405 0.716 0.494
O 0.515 0.042 0.306
O 0.515 0.958 0.806
O 0.610 0.439 0.801
O 0.610 0.561 0.301
O 0.925 0.051 0.701
O 0.925 0.949 0.201

Computed properties:
energy relative to the elements, uncorrected	-2725	meV per atom
crystal system	monoclinic

=====

4.
A plane-wave DFT calculation with PBEsol was carried out for a relaxed structure of K3AlF6.

Cell: 10.315 10.315 10.315 Å, 99.96 99.96 130.86°
Element x y z (fractional)
K 0.000 0.000 0.000
K 0.009 0.127 0.676
K 0.127 0.451 0.117
K 0.237 0.590 0.827
K 0.250 0.750 0.500
K 0.333 0.009 0.883
K 0.410 0.237 0.646
K 0.451 0.333 0.324
K 0.549 0.667 0.676
K 0.590 0.763 0.354
K 0.667 0.991 0.117
K 0.750 0.250 0.500
K 0.763 0.410 0.173
K 0.873 0.549 0.883
K 0.991 0.873 0.324
Al 0.092 0.303 0.395
Al 0.303 0.908 0.211
Al 0.500 0.500 0.000
Al 0.697 0.092 0.789
Al 0.908 0.697 0.605
F 0.033 0.181 0.214
F 0.035 0.642 0.677
F 0.089 0.693 0.208
F 0.120 0.911 0.604
F 0.147 0.427 0.574
F 0.181 0.967 0.148
F 0.218 0.245 0.462
F 0.245 0.782 0.027
F 0.290 0.290 0.000
F 0.307 0.515 0.396
F 0.358 0.035 0.393
F 0.376 0.437 0.814
F 0.427 0.853 0.280
F 0.437 0.624 0.061
F 0.485 0.880 0.792
F 0.515 0.120 0.208
F 0.563 0.376 0.939
F 0.573 0.147 0.720
F 0.624 0.563 0.186
F 0.642 0.965 0.607
F 0.693 0.485 0.604
F 0.710 0.710 0.000
F 0.755 0.218 0.973
F 0.782 0.755 0.538
F 0.819 0.033 0.852
F 0.853 0.573 0.426
F 0.880 0.089 0.396
F 0.911 0.307 0.792
F 0.965 0.358 0.323
F 0.967 0.819 0.786

Computed properties:
energy relative to the elements, uncorrected	-3194	meV per atom
crystal system	tetragonal

=====

5.
A plane-wave DFT calculation with PBEsol was carried out for a relaxed structure of Cd2AgPC.

Cell: 4.986 4.986 4.602 Å, 90.00 90.00 90.00°
Element x y z (fractional)
Cd 0.000 0.500 0.000
Cd 0.500 0.000 0.000
Ag 0.000 0.000 0.500
P 0.000 0.000 0.000
C 0.500 0.500 0.500

Computed properties:
crystal system	tetragonal

=====

6.
A plane-wave DFT calculation with PBEsol was carried out for a relaxed structure of CdAgW2.

Cell: 2.742 2.742 9.362 Å, 90.00 90.00 108.81°
Element x y z (fractional)
Cd 0.000 0.000 0.000
Ag 0.500 0.500 0.744
W 0.000 0.000 0.495
W 0.500 0.500 0.263

Computed properties:
crystal system	orthorhombic

=====

7.
A plane-wave DFT calculation with PBEsol was carried out for a relaxed structure of CaAlInPd2.

Cell: 4.827 4.827 5.564 Å, 90.00 90.00 90.00°
Element x y z (fractional)
Ca 0.000 0.000 0.000
Al 0.500 0.500 0.500
In 0.000 0.000 0.500
Pd 0.000 0.500 0.000
Pd 0.500 0.000 0.000

Computed properties:
crystal system	tetragonal

=====

8.
A plane-wave DFT calculation with PBEsol was carried out for a relaxed structure of HgBi2S2.

Cell: 8.207 8.207 3.741 Å, 90.00 90.00 90.00°
Element x y z (fractional)
Hg 0.000 0.000 0.000
Hg 0.500 0.500 0.000
Bi 0.186 0.314 0.000
Bi 0.314 0.814 0.000
Bi 0.686 0.186 0.000
Bi 0.814 0.686 0.000
S 0.147 0.647 0.500
S 0.353 0.147 0.500
S 0.647 0.853 0.500
S 0.853 0.353 0.500

Computed properties:
energy relative to the elements, uncorrected	-94	meV per atom
distance to the lowest polymorph of the same formula	0	meV per atom
crystal system	tetragonal

=====

9.
A plane-wave DFT calculation with PBEsol was carried out for a relaxed structure of In3Pb.

Cell: 3.300 4.753 6.752 Å, 90.00 90.00 90.00°
Element x y z (fractional)
In 0.000 0.000 0.000
In 0.500 0.500 0.240
In 0.500 0.500 0.760
Pb 0.000 0.000 0.500

Computed properties:
crystal system	orthorhombic

=====

10.
A plane-wave DFT calculation with PBEsol was carried out for a relaxed structure of IrPbAu.

Cell: 3.086 3.086 6.833 Å, 90.00 90.00 120.00°
Element x y z (fractional)
Ir 0.000 0.000 0.000
Pb 0.333 0.667 0.679
Au 0.667 0.333 0.313

Computed properties:
distance to the lowest polymorph of the same formula	102	meV per atom
crystal system	trigonal

=====

11.
A plane-wave DFT calculation with PBEsol was carried out for a relaxed structure of BaCl4.

Cell: 6.121 6.121 6.121 Å, 109.47 109.47 109.47°
Element x y z (fractional)
Ba 0.000 0.000 0.000
Cl 0.000 0.000 0.500
Cl 0.000 0.500 0.000
Cl 0.500 0.000 0.000
Cl 0.500 0.500 0.500

Computed properties:
energy relative to the elements, uncorrected	-1044	meV per atom
crystal system	cubic

=====

12.
A plane-wave DFT calculation with PBEsol was carried out for a relaxed structure of RuSeBr2.

Cell: 8.735 8.735 8.735 Å, 23.04 23.04 23.04°
Element x y z (fractional)
Ru 0.000 0.000 0.000
Se 0.500 0.500 0.500
Br 0.277 0.277 0.277
Br 0.723 0.723 0.723

Computed properties:
energy relative to the elements, uncorrected	355	meV per atom
distance to the lowest polymorph of the same formula	0	meV per atom
crystal system	trigonal

=====

13.
A plane-wave DFT calculation with PBEsol was carried out for a relaxed structure of BeIn2Mo.

Cell: 2.855 2.855 8.664 Å, 90.00 90.00 90.00°
Element x y z (fractional)
Be 0.000 0.000 0.000
In 0.000 0.000 0.567
In 0.500 0.500 0.230
Mo 0.500 0.500 0.822

Computed properties:
crystal system	tetragonal

=====

14.
A plane-wave DFT calculation with PBEsol was carried out for a relaxed structure of Cr2GeP2.

Cell: 6.308 6.308 6.308 Å, 149.89 149.89 43.10°
Element x y z (fractional)
Cr 0.114 0.114 0.000
Cr 0.886 0.886 0.000
Ge 0.500 0.500 0.000
P 0.250 0.750 0.500
P 0.750 0.250 0.500

Computed properties:
crystal system	tetragonal

=====

15.
A plane-wave DFT calculation with PBEsol was carried out for a relaxed structure of La6Al7.

Cell: 11.356 11.356 11.356 Å, 29.54 29.54 29.54°
Element x y z (fractional)
La 0.053 0.053 0.053
La 0.146 0.146 0.146
La 0.335 0.335 0.335
La 0.665 0.665 0.665
La 0.854 0.854 0.854
La 0.947 0.947 0.947
Al 0.091 0.599 0.599
Al 0.401 0.401 0.909
Al 0.401 0.909 0.401
Al 0.500 0.500 0.500
Al 0.599 0.091 0.599
Al 0.599 0.599 0.091
Al 0.909 0.401 0.401

Computed properties:
crystal system	trigonal

=====

16.
A plane-wave DFT calculation with PBEsol was carried out for a relaxed structure of YCoAg2.

Cell: 3.121 4.529 5.192 Å, 90.00 106.23 90.00°
Element x y z (fractional)
Y 0.000 0.000 0.000
Co 0.500 0.000 0.500
Ag 0.347 0.500 0.723
Ag 0.653 0.500 0.277

Computed properties:
crystal system	monoclinic

=====

17.
A plane-wave DFT calculation with PBEsol was carried out for a relaxed structure of BeTeAu3.

Cell: 5.169 5.169 5.169 Å, 90.00 90.00 90.00°
Element x y z (fractional)
Be 0.000 0.000 0.000
Te 0.500 0.500 0.500
Au 0.000 0.500 0.500
Au 0.500 0.000 0.500
Au 0.500 0.500 0.000

Computed properties:
energy relative to the elements, uncorrected	1149	meV per atom
crystal system	cubic

=====

18.
A plane-wave DFT calculation with PBEsol was carried out for a relaxed structure of AgPSe2.

Cell: 6.194 6.194 3.847 Å, 91.64 91.64 33.96°
Element x y z (fractional)
Ag 0.000 0.000 0.000
P 0.745 0.745 0.512
Se 0.288 0.288 0.925
Se 0.555 0.555 0.499

Computed properties:
energy relative to the elements, uncorrected	41	meV per atom
crystal system	monoclinic

=====

19.
A plane-wave DFT calculation with PBEsol was carried out for a relaxed structure of Y2FeHg.

Cell: 6.138 6.138 6.138 Å, 148.20 133.58 57.37°
Element x y z (fractional)
Y 0.000 0.000 0.000
Y 0.703 0.203 0.500
Fe 0.476 0.476 0.000
Hg 0.282 0.782 0.500

Computed properties:
crystal system	orthorhombic

=====

20.
A plane-wave DFT calculation with PBEsol was carried out for a relaxed structure of Co3W.

Cell: 3.548 3.548 3.548 Å, 90.00 90.00 90.00°
Element x y z (fractional)
Co 0.000 0.000 0.500
Co 0.000 0.500 0.000
Co 0.500 0.000 0.000
W 0.500 0.500 0.500

Computed properties:
crystal system	cubic

=====

21.
A plane-wave DFT calculation with PBEsol was carried out for a relaxed structure of KLaRe2.

Cell: 6.055 6.055 2.722 Å, 94.38 94.38 126.57°
Element x y z (fractional)
K 0.000 0.000 0.000
La 0.500 0.500 0.000
Re 0.000 0.500 0.500
Re 0.500 0.000 0.500

Computed properties:
distance to the lowest polymorph of the same formula	0	meV per atom
crystal system	monoclinic

=====

22.
A plane-wave DFT calculation with PBEsol was carried out for a relaxed structure of ZrTaSb4.

Cell: 5.909 5.909 5.909 Å, 60.00 60.00 60.00°
Element x y z (fractional)
Zr 0.000 0.000 0.000
Ta 0.750 0.750 0.750
Sb 0.375 0.375 0.375
Sb 0.375 0.375 0.875
Sb 0.375 0.875 0.375
Sb 0.875 0.375 0.375

Computed properties:
energy relative to the elements, uncorrected	761	meV per atom
crystal system	cubic

=====

23.
A plane-wave DFT calculation with PBEsol was carried out for a relaxed structure of RbMoNO2.

Cell: 4.163 4.163 4.415 Å, 90.00 90.00 90.00°
Element x y z (fractional)
Rb 0.000 0.000 0.000
Mo 0.500 0.500 0.500
N 0.000 0.000 0.500
O 0.000 0.500 0.000
O 0.500 0.000 0.000

Computed properties:
energy relative to the elements, uncorrected	2139	meV per atom
crystal system	tetragonal

=====

24.
A plane-wave DFT calculation with PBEsol was carried out for a relaxed structure of In3Hg.

Cell: 5.864 5.864 5.864 Å, 90.00 90.00 90.00°
Element x y z (fractional)
In 0.000 0.250 0.500
In 0.000 0.750 0.500
In 0.250 0.500 0.000
In 0.500 0.000 0.250
In 0.500 0.000 0.750
In 0.750 0.500 0.000
Hg 0.000 0.000 0.000
Hg 0.500 0.500 0.500

Computed properties:
crystal system	cubic

=====

Number 1: E_tot -39.04 eV for the cell shown, total moment 0.858 μB per atom. Number 2: E_tot -79.14 eV for the cell shown, total moment 0.000 μB per atom. Number 3: E_tot -173.62 eV for the cell shown, total moment 0.500 μB per atom. Number 4: E_tot -254.99 eV for the cell shown, total moment 0.008 μB per atom. Number 5: E_tot -13.36 eV for the cell shown, total moment 0.441 μB per atom. Number 6: E_tot -30.84 eV for the cell shown, total moment 0.000 μB per atom. Number 7: E_tot -16.77 eV for the cell shown, total moment 0.000 μB per atom. Number 8: E_tot -36.75 eV for the cell shown, total moment 0.000 μB per atom. Number 9: E_tot -12.90 eV for the cell shown, total moment 0.000 μB per atom. Number 10: E_tot -16.02 eV for the cell shown, total moment 0.000 μB per atom. Number 11: E_tot -15.40 eV for the cell shown, total moment 0.408 μB per atom. Number 12: E_tot -16.34 eV for the cell shown, total moment 0.000 μB per atom. Number 13: E_tot -20.20 eV for the cell shown, total moment 0.000 μB per atom. Number 14: E_tot -37.87 eV for the cell shown, total moment 0.000 μB per atom. Number 15: E_tot -65.73 eV for the cell shown, total moment 0.000 μB per atom. Number 16: E_tot -20.69 eV for the cell shown, total moment 0.130 μB per atom. Number 17: E_tot -13.55 eV for the cell shown, total moment 0.000 μB per atom. Number 18: E_tot -16.64 eV for the cell shown, total moment 0.000 μB per atom. Number 19: E_tot -23.36 eV for the cell shown, total moment 0.405 μB per atom. Number 20: E_tot -37.39 eV for the cell shown, total moment 0.109 μB per atom. Number 21: E_tot -28.21 eV for the cell shown, total moment 0.000 μB per atom. Number 22: E_tot -35.31 eV for the cell shown, total moment 0.000 μB per atom. Number 23: E_tot -21.12 eV for the cell shown, total moment 0.514 μB per atom. Number 24: E_tot -18.81 eV for the cell shown, total moment 0.000 μB per atom.